1.
# CdPPb2 (PBE-GGA, relaxed)
data_CdPPb2
_chemical_formula_sum 'Cd4 P4 Pb8'
_symmetry_space_group_name_H-M 'I -4 2 d'
_symmetry_Int_Tables_number 122
_symmetry_space_group_name_Hall 'I -4 2bw'
_cell_length_a 6.806
_cell_length_b 6.806
_cell_length_c 12.020
_cell_angle_alpha 90.00
_cell_angle_beta 90.00
_cell_angle_gamma 90.00
loop_
_atom_site_label
_atom_site_fract_x
_atom_site_fract_y
_atom_site_fract_z
Cd1 0.000 0.000 0.000
P1 0.000 0.000 0.500
Pb1 0.221 0.250 0.625
# excess energy over the best structure of this formula in the dataset = 134 meV/atom

---

2.
Density functional theory data (PBE-GGA) for a geometry-optimized CdPPb4 structure.

Structure (CIF):
```
data_CdPPb4
_chemical_formula_sum 'Cd4 P4 Pb16'
_symmetry_space_group_name_H-M 'F -4 3 m'
_symmetry_Int_Tables_number 216
_symmetry_space_group_name_Hall 'F -4 2 3'
_cell_length_a 9.049
_cell_length_b 9.049
_cell_length_c 9.049
_cell_angle_alpha 90.00
_cell_angle_beta 90.00
_cell_angle_gamma 90.00
loop_
_atom_site_label
_atom_site_fract_x
_atom_site_fract_y
_atom_site_fract_z
Cd1 0.000 0.000 0.000
P1 0.250 0.250 0.750
Pb1 0.125 0.125 0.375
```

---

3.
Density functional theory data (PBE-GGA) for a geometry-optimized Cd2PPb structure.

Structure (CIF):
```
data_Cd2PPb
_chemical_formula_sum 'Cd4 P2 Pb2'
_symmetry_space_group_name_H-M 'C 1 m 1'
_symmetry_Int_Tables_number 8
_symmetry_space_group_name_Hall 'C -2y'
_cell_length_a 7.000
_cell_length_b 4.091
_cell_length_c 7.658
_cell_angle_alpha 90.00
_cell_angle_beta 107.79
_cell_angle_gamma 90.00
loop_
_atom_site_label
_atom_site_fract_x
_atom_site_fract_y
_atom_site_fract_z
Cd1 0.000 0.000 0.000
Cd2 0.246 0.000 0.738
P1 0.231 0.500 0.195
Pb1 0.468 0.000 0.413
```

---

no.,calculated formation energy (eV per atom)
1,0.225
2,0.525
3,0.104